Here is Er2TiGa3Ir4 after structural relaxation from the Alexandria database. Energies are from PBE.

Total moment (μB/cell): 0.00
Calculated formation energy (eV/atom): -0.740

a = 4.102 Å, b = 4.102 Å, c = 10.854 Å
α = 90.00°, β = 90.00°, γ = 90.00°
Fractional positions:
Ga: 0.500 0.000 0.870
Ga: 0.000 0.000 0.500
Ga: 0.000 0.500 0.130
Ir: 0.500 0.500 0.000
Ir: 0.000 0.500 0.358
Ir: 0.500 0.000 0.642
Ir: 0.000 0.000 0.000
Ti: 0.500 0.500 0.500
Er: 0.000 0.500 0.770
Er: 0.500 0.000 0.230